Below is a relaxed structure of LiCo2C4O12, with properties calculated at the PBE+U level.

- space-group type = P1
- E_tot (eV/atom) = -6.9012

Unit cell a=5.2746 b=7.1348 c=7.5948 alpha=90.69 beta=96.40 gamma=107.45
Closest atoms and distances in Å follow each position.
Element x y z (fractional)
O1 0.9462 0.8257 0.7949  1 C 1.30
O2 0.4752 0.2331 0.3803  1 C 1.28
O3 0.1776 0.2479 0.8644  1 C 1.23
O4 0.1546 0.3735 0.5904  1 C 1.33
O5 0.8270 0.5859 0.3965  1 C 1.33
O6 0.5458 0.7649 0.6192  1 C 1.28
O7 0.8044 0.7342 0.1346  1 C 1.23
O8 0.0544 0.1642 0.2275  1 C 1.32
O9 0.5446 0.3944 0.7293  1 C 1.32
O10 0.6568 0.9673 0.8643  1 C 1.30
O11 0.4419 0.6081 0.2805  1 C 1.32
O12 0.3352 0.0219 0.1418  1 C 1.29
C1 0.2835 0.3295 0.7376  3 O 1.23-1.33
C2 0.2945 0.1429 0.2558  3 O 1.28-1.32
C3 0.6986 0.6500 0.2607  3 O 1.23-1.33
C4 0.7116 0.8482 0.7546  3 O 1.28-1.30
Co1 0.4964 0.5100 0.5089  5 O 1.90-1.96
Co2 0.9925 0.9929 0.0066  6 O 1.93-2.16
Li1 0.8728 0.2993 0.3817  4 O 2.00-2.13